# 1
Here is crystalline Cr5GeRu6 at its relaxed geometry from Alexandria via LeMat-Bulk. Energies are from PBE-GGA.

Results
calculated formation energy	-1.00	kJ per mole of atoms

The structure in POSCAR format:
```
Cr5GeRu6
1.0
4.3330 0.0000 0.0000
0.0000 5.6792 0.0000
-1.6095 0.0000 6.4071
Cr Ge Ru
5 1 6
Direct
0.0000 0.0000 0.0000 Cr
0.3802 0.0000 0.6387 Cr
0.3835 0.5000 0.6383 Cr
0.6165 0.5000 0.3617 Cr
0.6198 0.0000 0.3613 Cr
0.0000 0.5000 0.0000 Ge
0.1154 0.2492 0.3222 Ru
0.1154 0.7508 0.3222 Ru
0.5000 0.2475 0.0000 Ru
0.5000 0.7525 0.0000 Ru
0.8846 0.2492 0.6778 Ru
0.8846 0.7508 0.6778 Ru
```

***

# 2
Here is crystalline CrGe2Ru at its relaxed geometry from Alexandria via LeMat-Bulk. Energies are from PBE-GGA.

Results
calculated formation energy	-1.02	kJ per mole of atoms

The structure in POSCAR format:
```
CrGe2Ru
1.0
0.0000 3.0461 3.0461
3.0461 0.0000 3.0461
3.0461 3.0461 0.0000
Cr Ge Ru
1 2 1
Direct
0.0000 0.0000 0.0000 Cr
0.2500 0.2500 0.2500 Ge
0.7500 0.7500 0.7500 Ge
0.5000 0.5000 0.5000 Ru
```

***

# 3
Here is crystalline Cr2Ge2Ru at its relaxed geometry from Alexandria via LeMat-Bulk. Energies are from PBE-GGA.

Results
calculated formation energy	7.85	kJ per mole of atoms

The structure in POSCAR format:
```
Cr2Ge2Ru
1.0
6.4153 0.0000 0.0000
0.0000 6.4153 0.0000
0.0000 0.0000 3.5606
Cr Ge Ru
4 4 2
Direct
0.1642 0.3358 0.0000 Cr
0.3358 0.8358 0.0000 Cr
0.6642 0.1642 0.0000 Cr
0.8358 0.6642 0.0000 Cr
0.1394 0.6394 0.5000 Ge
0.3606 0.1394 0.5000 Ge
0.6394 0.8606 0.5000 Ge
0.8606 0.3606 0.5000 Ge
0.0000 0.0000 0.5000 Ru
0.5000 0.5000 0.5000 Ru
```

***

# 4
Here is crystalline CrGeRu at its relaxed geometry from Alexandria via LeMat-Bulk. Energies are from PBE-GGA.

Results
calculated formation energy	-2.72	kJ per mole of atoms

The structure in POSCAR format:
```
CrGeRu
1.0
-1.4578 1.4578 4.6500
1.4578 -1.4578 4.6500
1.4578 1.4578 -4.6500
Cr Ge Ru
1 1 1
Direct
0.0000 0.0000 0.0000 Cr
0.3419 0.3419 0.0000 Ge
0.6734 0.6734 0.0000 Ru
```

***

# 5
Here is crystalline CrGe2Ru at its relaxed geometry from Alexandria via LeMat-Bulk. Energies are from PBE-GGA.

Results
calculated formation energy	34.83	kJ per mole of atoms

The structure in POSCAR format:
```
CrGe2Ru
1.0
-3.3802 3.3802 2.8435
3.3802 -3.3802 2.8435
3.3802 3.3802 -2.8435
Cr Ge Ru
2 4 2
Direct
0.0000 0.0000 0.0000 Cr
0.7500 0.2500 0.5000 Cr
0.1333 0.6250 0.0083 Ge
0.3750 0.3833 0.5083 Ge
0.6167 0.1250 0.9917 Ge
0.8750 0.8667 0.4917 Ge
0.2500 0.7500 0.5000 Ru
0.5000 0.5000 0.0000 Ru
```

***

# 6
Here is crystalline Cr2GeRu2 at its relaxed geometry from Alexandria via LeMat-Bulk. Energies are from PBE-GGA.

Results
calculated formation energy	22.50	kJ per mole of atoms

The structure in POSCAR format:
```
Cr2GeRu2
1.0
7.1723 0.0000 0.0000
0.0000 7.1723 0.0000
0.0000 0.0000 2.7448
Cr Ge Ru
4 2 4
Direct
0.1544 0.3456 0.0000 Cr
0.3456 0.8456 0.0000 Cr
0.6544 0.1544 0.0000 Cr
0.8456 0.6544 0.0000 Cr
0.0000 0.0000 0.5000 Ge
0.5000 0.5000 0.5000 Ge
0.1365 0.6365 0.5000 Ru
0.3635 0.1365 0.5000 Ru
0.6365 0.8635 0.5000 Ru
0.8635 0.3635 0.5000 Ru
```